A relaxed PuAlCuPd crystal. Source: the Alexandria database, functional PBE.

```
PuAlCuPd
1.0
4.267 0.000 0.000
2.133 3.695 0.000
2.133 1.232 4.981
Al Cu Pd Pu
1 1 1 1
Cartesian
4.267 2.463 0.839
2.133 1.232 0.707
2.133 1.232 4.726
6.400 3.695 2.806
```

Computed properties:
DFT total energy in eV/cell: -28.34
N(E_F) in states/eV per atom: 3.15
ΔH_f (0 K) in eV/atom: -0.24
M_tot in Bohr magnetons per cell: 5.8
Volume in A^3/atom: 19.6

A relaxed Al2CuPdRh crystal. Source: the Alexandria database, functional PBE.

```
Al2CuPdRh
1.0
-0.205 -4.400 0.979
4.074 -0.844 -2.941
2.702 0.664 3.552
Al Cu Pd Rh
2 1 1 1
Cartesian
1.351 0.332 1.776
-0.103 -2.200 0.490
3.285 -2.290 0.795
2.037 -0.422 -1.471
0.000 0.000 0.000
```

Computed properties:
DFT total energy in eV/cell: -21.86
N(E_F) in states/eV per atom: 0.63
ΔH_f (0 K) in eV/atom: 0.45
M_tot in Bohr magnetons per cell: 0.0
Volume in A^3/atom: 20.7

A relaxed AlCu2PdS crystal. Source: the Alexandria database, functional PBE.

```
AlCu2PdS
1.0
-4.041 -0.676 2.311
-1.942 -1.609 -3.865
1.372 -4.357 1.125
S Cu Pd Al
1 2 1 1
Cartesian
-2.305 -3.321 -0.214
0.686 -2.178 0.562
-2.020 -0.338 1.156
0.000 0.000 0.000
-0.971 -0.805 -1.932
```

Computed properties:
DFT total energy in eV/cell: -18.13
N(E_F) in states/eV per atom: 0.44
M_tot in Bohr magnetons per cell: 0.0
Uncorrected formation energy in eV per atom: 0.62
Volume in A^3/atom: 20.4

A relaxed Al2CuPdS4 crystal. Source: the Alexandria database, functional PBE.

```
Al2CuPdS4
1.0
5.266 0.219 0.000
-0.219 5.266 0.000
-2.524 -2.743 5.571
S Al Pd Cu
4 2 1 1
Cartesian
3.840 1.531 1.454
-1.211 -1.316 4.118
1.211 1.316 4.118
1.207 3.954 1.454
2.633 0.109 2.786
-0.110 2.633 2.786
2.524 2.742 5.570
2.524 2.743 0.000
```

Computed properties:
DFT total energy in eV/cell: -38.73
N(E_F) in states/eV per atom: 0.83
M_tot in Bohr magnetons per cell: 0.6
Uncorrected formation energy in eV per atom: -0.68
Volume in A^3/atom: 19.3

A relaxed Sc2Al2CuPd5 crystal. Source: the Alexandria database, functional PBE.

```
Sc2Al2CuPd5
1.0
3.559 0.000 0.000
0.000 9.612 0.000
0.000 0.000 9.612
Pd Sc Al Cu
10 4 4 2
Cartesian
1.780 4.158 2.881
1.780 0.648 7.687
1.780 0.000 4.806
1.780 7.687 8.963
1.780 6.731 4.158
1.780 4.806 0.000
1.780 5.454 6.731
1.780 1.925 0.648
1.780 2.881 5.454
1.780 8.963 1.925
0.000 3.130 7.936
0.000 6.481 1.676
0.000 1.676 3.130
0.000 7.936 6.481
0.000 1.203 6.009
0.000 6.009 8.408
0.000 3.602 1.203
0.000 8.408 3.602
0.000 4.806 4.806
0.000 0.000 0.000
```

Computed properties:
DFT total energy in eV/cell: -113.48
N(E_F) in states/eV per atom: 0.60
ΔH_f (0 K) in eV/atom: -0.65
M_tot in Bohr magnetons per cell: 0.0
Volume in A^3/atom: 16.4

A relaxed Sc4AlCu2Pd crystal. Source: the Alexandria database, functional PBE.

```
Sc4AlCu2Pd
1.0
4.675 0.000 0.000
2.337 4.048 0.000
2.337 1.349 7.686
Sc Al Cu Pd
4 1 2 1
Cartesian
4.675 2.699 6.637
4.675 2.699 1.049
7.012 4.048 2.930
2.337 1.349 4.756
0.000 0.000 0.000
7.012 4.048 5.971
2.337 1.349 1.715
4.675 2.699 3.843
```

Computed properties:
DFT total energy in eV/cell: -46.29
N(E_F) in states/eV per atom: 0.84
ΔH_f (0 K) in eV/atom: -0.48
M_tot in Bohr magnetons per cell: 0.0
Volume in A^3/atom: 18.2

A relaxed Sc4AlCuPd2 crystal. Source: the Alexandria database, functional PBE.

```
Sc4AlCuPd2
1.0
-2.069 2.627 -3.311
-3.391 -1.846 -2.690
-7.102 2.528 3.101
Cu Pd Sc Al
1 2 4 1
Cartesian
-6.281 1.654 -1.450
-3.038 0.783 -0.824
-9.524 2.526 -2.076
-5.065 1.654 1.134
-4.372 0.835 -3.293
-7.496 1.655 -4.034
-8.190 2.474 0.393
0.000 0.000 0.000
```

Computed properties:
DFT total energy in eV/cell: -48.55
N(E_F) in states/eV per atom: 0.54
ΔH_f (0 K) in eV/atom: -0.63
M_tot in Bohr magnetons per cell: 0.0
Volume in A^3/atom: 18.4

A relaxed AlCu2PdSe4 crystal. Source: the Alexandria database, functional PBE.

```
AlCu2PdSe4
1.0
-3.381 -0.166 -4.547
4.360 -1.753 -3.171
-1.772 -4.301 5.004
Se Al Cu Pd
4 1 2 1
Cartesian
-0.711 -4.368 -1.038
2.048 -2.708 -3.227
-1.190 -3.430 2.735
-1.732 -1.933 -3.899
-1.282 -5.261 1.145
1.539 -3.508 -1.013
-2.332 -2.714 -1.701
-0.001 -0.002 0.001
```

Computed properties:
DFT total energy in eV/cell: -33.84
N(E_F) in states/eV per atom: 0.79
M_tot in Bohr magnetons per cell: 0.0
Uncorrected formation energy in eV per atom: -0.35
Volume in A^3/atom: 22.2

A relaxed Sm2Al5Cu2Pd crystal. Source: the Alexandria database, functional PBE.

```
Sm2Al5Cu2Pd
1.0
-0.322 3.942 -0.085
-6.847 -0.701 -6.643
-6.634 -0.393 6.880
Al Sm Cu Pd
10 4 4 2
Cartesian
-3.584 1.620 -3.364
-7.935 1.303 -1.614
-5.215 1.539 -0.963
-3.478 1.774 3.398
-5.868 1.544 1.767
-1.879 1.810 -1.022
-8.588 1.309 1.116
-5.815 1.621 5.112
-7.988 1.227 -4.959
-11.923 1.038 1.175
-10.125 -0.841 -0.686
-5.933 -0.554 -3.277
-3.357 -0.254 0.923
-7.549 -0.540 3.515
-8.698 -0.779 -3.228
-3.400 -0.317 -1.850
-4.784 -0.316 3.466
-10.081 -0.777 2.088
0.000 0.000 0.000
-6.741 -0.547 0.119
```

Computed properties:
DFT total energy in eV/cell: -93.04
N(E_F) in states/eV per atom: 0.31
ΔH_f (0 K) in eV/atom: -0.50
M_tot in Bohr magnetons per cell: 0.0
Volume in A^3/atom: 18.1

A relaxed Sm3AlCu2Pd9 crystal. Source: the Alexandria database, functional PBE.

```
Sm3AlCu2Pd9
1.0
-4.854 5.287 1.869
-2.144 -7.097 -0.208
1.621 -0.669 6.103
Cu Pd Sm Al
2 9 3 1
Cartesian
-2.767 -3.085 1.538
-2.610 0.606 6.225
-0.840 0.117 4.669
-1.072 -3.548 -0.104
-0.954 -1.669 2.244
-3.326 2.824 5.626
-2.051 -5.302 2.138
-3.499 -0.905 0.830
-4.423 -0.810 5.519
-2.427 2.643 0.934
-4.537 -2.596 3.095
0.000 0.000 0.000
-1.958 -3.418 4.585
-3.419 0.940 3.178
0.811 -0.334 3.052
```

Computed properties:
DFT total energy in eV/cell: -78.04
N(E_F) in states/eV per atom: 0.38
ΔH_f (0 K) in eV/atom: -0.35
M_tot in Bohr magnetons per cell: 0.0
Volume in A^3/atom: 20.2

A relaxed SmAl4Cu2Pd crystal. Source: the Alexandria database, functional PBE.

```
SmAl4Cu2Pd
1.0
4.217 0.000 0.000
2.108 3.652 0.000
2.108 1.217 8.914
Sm Cu Al Pd
1 2 4 1
Cartesian
0.000 0.000 0.000
6.325 3.652 6.406
2.108 1.217 2.508
6.325 3.652 3.461
2.108 1.217 5.453
4.217 2.434 1.897
4.217 2.434 7.016
4.217 2.434 4.457
```

Computed properties:
DFT total energy in eV/cell: -36.69
N(E_F) in states/eV per atom: 0.43
ΔH_f (0 K) in eV/atom: -0.45
M_tot in Bohr magnetons per cell: 0.0
Volume in A^3/atom: 17.2

A relaxed SmAl2CuPd4 crystal. Source: the Alexandria database, functional PBE.

```
SmAl2CuPd4
1.0
4.296 0.000 0.000
2.148 3.720 0.000
2.148 1.240 8.576
Sm Pd Al Cu
1 4 2 1
Cartesian
0.000 0.000 0.000
2.148 1.240 5.243
4.296 2.480 1.758
6.444 3.720 3.333
4.296 2.480 6.818
2.148 1.240 2.559
6.444 3.720 6.017
4.296 2.480 4.288
```

Computed properties:
DFT total energy in eV/cell: -42.78
N(E_F) in states/eV per atom: 0.64
ΔH_f (0 K) in eV/atom: -0.71
M_tot in Bohr magnetons per cell: 0.0
Volume in A^3/atom: 17.1

What is the DFT total energy in the second record? -21.86 eV/cell

What is the formula in the second record? Al2CuPdRh